Below is a relaxed structure of BaPt, with properties calculated at the PBE level.

For the density of states at the Fermi level, the calculation gives 0.0 states/eV per cell. For the total energy, the calculation gives -4.300 eV per atom.

It has space group Pm-3n (No. 223), with a = 8.7047 Å, b = 8.7047 Å, c = 8.7047 Å, α = 90.00°, β = 90.00° and γ = 90.00°. The inequivalent atoms are Ba at (0.0000, 0.2500, 0.5000) and Pt at (0.0000, 0.5000, 0.2500).